(1)
The following is a DFT calculation (GGA-PBE) of SiRuC2 after structural relaxation.

For the total energy, the calculation gives -6.756 eV/atom. For the volume, the calculation gives 9.269 Å³/atom. Its formation energy from raw total energies is 147.7 kJ per mole of atoms. Its energy relative to the lowest polymorph listed for this composition is 1.036 eV per atom. The total magnetic moment comes out at 0.0 μB/f.u.

Cell and atoms, written as extended XYZ:
```
4
Lattice="0.0000 2.6466 2.6466 2.6466 0.0000 2.6466 2.6466 2.6466 0.0000" Properties=species:S:1:pos:R:3 pbc="T T T"
Si 0.0000 0.0000 0.0000
Ru 2.6466 2.6466 2.6466
C 1.3233 1.3233 1.3233
C 3.9700 3.9700 3.9700
```



(2)
The following is a DFT calculation (GGA-PBE) of SiRuC2 after structural relaxation.

For the total energy, the calculation gives -7.792 eV/atom. For the volume, the calculation gives 11.431 Å³/atom. Its formation energy from raw total energies is 47.8 kJ per mole of atoms. Its energy relative to the lowest polymorph listed for this composition is 0.000 eV per atom. The total magnetic moment comes out at 0.0 μB/f.u.

Cell and atoms, written as extended XYZ:
```
8
Lattice="-2.2927 2.2927 4.3493 2.2927 -2.2927 4.3493 2.2927 2.2927 -4.3493" Properties=species:S:1:pos:R:3 pbc="T T T"
Si 0.0000 0.0000 0.0000
Si 0.0000 2.2927 2.1746
Ru 2.2927 0.0000 2.1746
Ru 0.0000 0.0000 4.3493
C 3.4391 1.0506 -1.0873
C 1.0506 1.1464 1.0873
C -1.1464 1.2421 3.2620
C 1.2421 1.1464 5.4366
```



(3)
The following is a DFT calculation (GGA-PBE) of Sm2SiRuC after structural relaxation.

For the total energy, the calculation gives -7.046 eV/atom. For the volume, the calculation gives 19.935 Å³/atom. Its formation energy from raw total energies is -36.1 kJ per mole of atoms. The total magnetic moment comes out at 0.0 μB/f.u.

Cell and atoms, written as extended XYZ:
```
10
Lattice="3.9685 0.0000 0.0000 0.0000 3.9685 0.0000 0.0000 0.0000 12.6578" Properties=species:S:1:pos:R:3 pbc="T T T"
Sm 0.9921 0.9921 1.1751
Sm 0.9921 0.9921 8.9077
Sm 2.9764 2.9764 3.7501
Sm 2.9764 2.9764 11.4828
Si 0.9921 0.9921 4.9861
Si 2.9764 2.9764 7.6718
Ru 0.9921 2.9764 6.3289
Ru 2.9764 0.9921 6.3289
C 0.9921 0.9921 11.3483
C 2.9764 2.9764 1.3096
```



(4)
The following is a DFT calculation (GGA-PBE) of SmSiRu2C after structural relaxation.

For the total energy, the calculation gives -8.181 eV/atom. For the volume, the calculation gives 15.581 Å³/atom. Its formation energy from raw total energies is -57.7 kJ per mole of atoms. The total magnetic moment comes out at 0.0 μB/f.u.

Cell and atoms, written as extended XYZ:
```
10
Lattice="1.9474 -5.5599 0.0000 1.9474 5.5599 0.0000 0.0000 0.0000 7.1953" Properties=species:S:1:pos:R:3 pbc="T T T"
Sm 1.9474 5.0126 5.3964
Sm 1.9474 -5.0126 1.7988
Si 1.9474 3.0092 1.7988
Si 1.9474 -3.0092 5.3964
Ru 1.9474 1.8296 4.0170
Ru 1.9474 1.8296 6.7758
Ru 1.9474 -1.8296 0.4194
Ru 1.9474 -1.8296 3.1782
C 1.9474 0.0000 0.0000
C 1.9474 0.0000 3.5976
```



(5)
The following is a DFT calculation (GGA-PBE) of SiTc2RuC after structural relaxation.

For the total energy, the calculation gives -6.721 eV/atom. For the volume, the calculation gives 16.738 Å³/atom. Its formation energy from raw total energies is 213.2 kJ per mole of atoms. The total magnetic moment comes out at 0.0 μB/f.u.

Cell and atoms, written as extended XYZ:
```
5
Lattice="4.4048 0.0000 0.0000 0.0000 4.4048 0.0000 0.0000 0.0000 4.3135" Properties=species:S:1:pos:R:3 pbc="T T T"
Si 0.0000 0.0000 0.0000
Tc 0.0000 2.2024 0.0000
Tc 2.2024 0.0000 0.0000
Ru 0.0000 0.0000 2.1567
C 2.2024 2.2024 2.1567
```



(6)
The following is a DFT calculation (GGA-PBE) of SiTcRuC2 after structural relaxation.

For the total energy, the calculation gives -6.982 eV/atom. For the volume, the calculation gives 15.696 Å³/atom. Its formation energy from raw total energies is 166.0 kJ per mole of atoms. The total magnetic moment comes out at 1.1 μB/f.u.

Cell and atoms, written as extended XYZ:
```
5
Lattice="3.7979 0.0000 0.0000 0.0000 3.7979 0.0000 0.0000 0.0000 5.4408" Properties=species:S:1:pos:R:3 pbc="T T T"
Si 0.0000 0.0000 0.0000
Tc 1.8989 1.8989 2.7204
Ru 1.8989 1.8989 0.0000
C 0.0000 1.8989 2.7204
C 1.8989 0.0000 2.7204
```



(7)
The following is a DFT calculation (GGA-PBE) of ThSiRu2C after structural relaxation.

For the total energy, the calculation gives -8.742 eV/atom. For the volume, the calculation gives 16.002 Å³/atom. Its formation energy from raw total energies is -59.6 kJ per mole of atoms. The total magnetic moment comes out at 0.0 μB/f.u.

Cell and atoms, written as extended XYZ:
```
10
Lattice="1.9735 -5.6279 0.0000 1.9735 5.6279 0.0000 0.0000 0.0000 7.2040" Properties=species:S:1:pos:R:3 pbc="T T T"
Th 1.9735 5.0147 5.4030
Th 1.9735 -5.0147 1.8010
Si 1.9735 3.0766 1.8010
Si 1.9735 -3.0766 5.4030
Ru 1.9735 1.8507 4.0047
Ru 1.9735 1.8507 6.8013
Ru 1.9735 -1.8507 0.4027
Ru 1.9735 -1.8507 3.1993
C 1.9735 0.0000 0.0000
C 1.9735 0.0000 3.6020
```



(8)
The following is a DFT calculation (GGA-PBE) of TiSi2RuC after structural relaxation.

For the total energy, the calculation gives -6.509 eV/atom. For the volume, the calculation gives 16.814 Å³/atom. Its formation energy from raw total energies is 90.6 kJ per mole of atoms. The total magnetic moment comes out at 0.0 μB/f.u.

Cell and atoms, written as extended XYZ:
```
5
Lattice="4.7310 0.0000 0.0000 0.0000 4.7310 0.0000 0.0000 0.0000 3.7562" Properties=species:S:1:pos:R:3 pbc="T T T"
Ti 0.0000 0.0000 0.0000
Si 0.0000 2.3655 1.8781
Si 2.3655 0.0000 1.8781
Ru 2.3655 2.3655 1.8781
C 2.3655 2.3655 0.0000
```



(9)
The following is a DFT calculation (GGA-PBE) of TmSiRu2C after structural relaxation.

For the total energy, the calculation gives -8.145 eV/atom. For the volume, the calculation gives 14.954 Å³/atom. Its formation energy from raw total energies is -59.0 kJ per mole of atoms. The total magnetic moment comes out at 0.0 μB/f.u.

Cell and atoms, written as extended XYZ:
```
10
Lattice="1.8816 -5.5793 0.0000 1.8816 5.5793 0.0000 0.0000 0.0000 7.1224" Properties=species:S:1:pos:R:3 pbc="T T T"
Tm 1.8816 5.0645 5.3418
Tm 1.8816 -5.0645 1.7806
Si 1.8816 2.9915 1.7806
Si 1.8816 -2.9915 5.3418
Ru 1.8816 1.8222 3.9597
Ru 1.8816 1.8222 6.7238
Ru 1.8816 -1.8222 0.3986
Ru 1.8816 -1.8222 3.1626
C 1.8816 0.0000 0.0000
C 1.8816 0.0000 3.5612
```



(10)
The following is a DFT calculation (GGA-PBE) of USiRuC after structural relaxation.

For the total energy, the calculation gives -9.096 eV/atom. For the volume, the calculation gives 15.378 Å³/atom. Its formation energy from raw total energies is -28.3 kJ per mole of atoms. The total magnetic moment comes out at 2.0 μB/f.u.

Cell and atoms, written as extended XYZ:
```
8
Lattice="3.8525 0.0000 0.0000 0.0000 3.8525 0.0000 0.0000 0.0000 8.2889" Properties=species:S:1:pos:R:3 pbc="T T T"
U 0.9631 0.9631 1.3116
U 2.8894 2.8894 6.9773
Si 0.9631 0.9631 5.5133
Si 2.8894 2.8894 2.7756
Ru 0.9631 2.8894 4.1444
Ru 2.8894 0.9631 4.1444
C 0.9631 0.9631 7.3642
C 2.8894 2.8894 0.9247
```



(11)
The following is a DFT calculation (GGA-PBE) of V2SiRuC after structural relaxation.

For the total energy, the calculation gives -7.157 eV/atom. For the volume, the calculation gives 16.328 Å³/atom. Its formation energy from raw total energies is 123.0 kJ per mole of atoms. The total magnetic moment comes out at 0.0 μB/f.u.

Cell and atoms, written as extended XYZ:
```
5
Lattice="4.6496 0.0000 0.0000 0.0000 4.6496 0.0000 0.0000 0.0000 3.7763" Properties=species:S:1:pos:R:3 pbc="T T T"
V 0.0000 2.3248 0.0000
V 2.3248 0.0000 0.0000
Si 0.0000 0.0000 1.8881
Ru 2.3248 2.3248 0.0000
C 2.3248 2.3248 1.8881
```



(12)
The following is a DFT calculation (GGA-PBE) of YSiRu2C after structural relaxation.

For the total energy, the calculation gives -8.552 eV/atom. For the volume, the calculation gives 15.225 Å³/atom. Its formation energy from raw total energies is -59.7 kJ per mole of atoms. The total magnetic moment comes out at 0.0 μB/f.u.

Cell and atoms, written as extended XYZ:
```
10
Lattice="1.9118 -5.5643 0.0000 1.9118 5.5643 0.0000 0.0000 0.0000 7.1560" Properties=species:S:1:pos:R:3 pbc="T T T"
Y 1.9118 5.0378 5.3670
Y 1.9118 -5.0378 1.7890
Si 1.9118 2.9966 1.7890
Si 1.9118 -2.9966 5.3670
Ru 1.9118 1.8244 3.9868
Ru 1.9118 1.8244 6.7472
Ru 1.9118 -1.8244 0.4088
Ru 1.9118 -1.8244 3.1692
C 1.9118 0.0000 0.0000
C 1.9118 0.0000 3.5780
```



(13)
The following is a DFT calculation (GGA-PBE) of Y2SiRuC after structural relaxation.

For the total energy, the calculation gives -7.767 eV/atom. For the volume, the calculation gives 18.843 Å³/atom. Its formation energy from raw total energies is -38.3 kJ per mole of atoms. The total magnetic moment comes out at 0.0 μB/f.u.

Cell and atoms, written as extended XYZ:
```
5
Lattice="4.9040 0.0000 0.0000 0.0000 4.9040 0.0000 0.0000 0.0000 3.9176" Properties=species:S:1:pos:R:3 pbc="T T T"
Y 0.0000 2.4520 0.0000
Y 2.4520 0.0000 0.0000
Si 0.0000 0.0000 1.9588
Ru 2.4520 2.4520 1.9588
C 2.4520 2.4520 0.0000
```



(14)
The following is a DFT calculation (GGA-PBE) of Sm2Ru3C2 after structural relaxation.

For the total energy, the calculation gives -7.847 eV/atom. For the volume, the calculation gives 15.467 Å³/atom. The total magnetic moment comes out at 0.0 μB/f.u.

Cell and atoms, written as extended XYZ:
```
7
Lattice="5.1728 -1.5146 0.0000 5.1728 1.5146 0.0000 -2.5961 0.0000 6.9097" Properties=species:S:1:pos:R:3 pbc="T T T"
Sm 0.7293 0.0000 1.9143
Sm 7.0203 0.0000 4.9953
Ru 3.3593 0.0000 0.7942
Ru 3.8748 0.0000 3.4548
Ru 4.3903 0.0000 6.1155
C -0.3565 0.0000 4.7161
C 8.1061 0.0000 2.1936
```



(15)
The following is a DFT calculation (GGA-PBE) of Sm3Ru2C4 after structural relaxation.

For the total energy, the calculation gives -7.675 eV/atom. For the volume, the calculation gives 15.738 Å³/atom. The total magnetic moment comes out at 0.0 μB/f.u.

Cell and atoms, written as extended XYZ:
```
9
Lattice="5.9520 -1.7079 0.0000 5.9520 1.7079 0.0000 -0.5865 0.0000 6.9668" Properties=species:S:1:pos:R:3 pbc="T T T"
Sm 0.0000 0.0000 0.0000
Sm 4.1362 0.0000 3.2700
Sm 7.1813 0.0000 3.6969
Ru 2.6988 0.0000 5.9083
Ru 8.6188 0.0000 1.0585
C 1.9188 0.0000 2.0290
C 4.1203 0.0000 0.7072
C 7.1972 0.0000 6.2596
C 9.3987 0.0000 4.9378
```



(16)
The following is a DFT calculation (GGA-PBE) of Sm2Ru5C4 after structural relaxation.

For the total energy, the calculation gives -8.495 eV/atom. For the volume, the calculation gives 13.427 Å³/atom. The total magnetic moment comes out at 0.0 μB/f.u.

Cell and atoms, written as extended XYZ:
```
11
Lattice="0.0000 4.9300 5.5015 2.7229 0.0000 5.5015 2.7229 4.9300 0.0000" Properties=species:S:1:pos:R:3 pbc="T T T"
Sm 2.7229 4.9300 1.6013
Sm 2.7229 4.9300 9.4016
Ru 1.3614 2.4650 0.0000
Ru 1.3614 2.4650 2.7507
Ru 1.3614 2.4650 5.5015
Ru 2.7229 4.9300 5.5015
Ru 4.0843 7.3950 8.2522
C 2.7229 3.3206 4.0712
C 2.7229 3.3206 6.9317
C 2.7229 6.5393 4.0712
C 2.7229 6.5393 6.9317
```



(17)
The following is a DFT calculation (GGA-PBE) of SmRu2C3 after structural relaxation.

For the total energy, the calculation gives -8.352 eV/atom. For the volume, the calculation gives 14.170 Å³/atom. The total magnetic moment comes out at 0.0 μB/f.u.

Cell and atoms, written as extended XYZ:
```
12
Lattice="3.5207 -4.5582 0.0000 3.5207 4.5582 0.0000 0.0000 0.0000 5.2981" Properties=species:S:1:pos:R:3 pbc="T T T"
Sm 3.5207 2.6238 3.9736
Sm 3.5207 -2.6238 1.3245
Ru 2.1584 0.0000 0.0000
Ru 2.1584 0.0000 2.6491
Ru 4.8829 0.0000 0.0000
Ru 4.8829 0.0000 2.6491
C 0.6809 0.5748 3.9736
C 0.6809 -0.5748 1.3245
C 3.5207 0.7328 1.3245
C 3.5207 -0.7328 3.9736
C 6.3604 0.5748 3.9736
C 6.3604 -0.5748 1.3245
```



(18)
The following is a DFT calculation (GGA-PBE) of Sm3RuC3 after structural relaxation.

For the total energy, the calculation gives -7.510 eV/atom. For the volume, the calculation gives 17.651 Å³/atom. The total magnetic moment comes out at 0.0 μB/f.u.

Cell and atoms, written as extended XYZ:
```
14
Lattice="4.4076 -5.3340 0.0000 4.4076 5.3340 0.0000 0.0000 0.0000 5.2556" Properties=species:S:1:pos:R:3 pbc="T T T"
Sm 4.4076 4.1795 3.9417
Sm 2.5311 1.2863 3.9417
Sm 2.5311 -1.2863 1.3139
Sm 6.2842 1.2863 3.9417
Sm 6.2842 -1.2863 1.3139
Sm 4.4076 -4.1795 1.3139
Ru 4.4076 2.0913 1.3139
Ru 4.4076 -2.0913 3.9417
C 4.4076 4.0407 1.3139
C 2.6277 1.3598 1.3139
C 2.6277 -1.3598 3.9417
C 6.1876 1.3598 1.3139
C 6.1876 -1.3598 3.9417
C 4.4076 -4.0407 3.9417
```



(19)
The following is a DFT calculation (GGA-PBE) of Sm2RuC2 after structural relaxation.

For the total energy, the calculation gives -7.411 eV/atom. For the volume, the calculation gives 16.470 Å³/atom. Its energy relative to the lowest polymorph listed for this composition is 0.262 eV per atom. The total magnetic moment comes out at 0.0 μB/f.u.

Cell and atoms, written as extended XYZ:
```
10
Lattice="5.2805 -2.7286 0.0000 5.2805 2.7286 0.0000 -2.3248 0.0000 5.7154" Properties=species:S:1:pos:R:3 pbc="T T T"
Sm 1.1273 0.6811 1.1931
Sm -0.0351 -0.6811 4.0508
Sm 8.2713 0.6811 1.6646
Sm 7.1090 -0.6811 4.5223
Ru 4.6993 0.4359 1.4288
Ru 3.5369 -0.4359 4.2865
C 3.1965 1.0096 2.6953
C 6.2021 1.0096 0.1624
C 2.0341 -1.0096 5.5530
C 5.0397 -1.0096 3.0201
```



(20)
The following is a DFT calculation (GGA-PBE) of SmRuC2 after structural relaxation.

For the total energy, the calculation gives -7.767 eV/atom. For the volume, the calculation gives 12.892 Å³/atom. Its energy relative to the lowest polymorph listed for this composition is 0.518 eV per atom. The total magnetic moment comes out at 0.0 μB/f.u.

Cell and atoms, written as extended XYZ:
```
4
Lattice="1.6767 0.9680 5.2956 -1.6767 0.9680 5.2956 0.0000 -1.9360 5.2956" Properties=species:S:1:pos:R:3 pbc="T T T"
Sm 0.0000 0.0000 0.0000
Ru 0.0000 0.0000 7.9434
C 0.0000 0.0000 3.6608
C 0.0000 0.0000 12.2260
```